Compound: In2RhSe
Source: the Alexandria database
Functional: SCAN
Structure: single point on PBEsol structure

POSCAR file:
```
In2RhSe
1.0
3.446 0.000 0.000
0.000 3.467 0.048
0.000 -0.898 6.345
In Rh Se
2 1 1
Cartesian
0.000 -0.574 4.625 In
0.000 3.143 1.768 In
1.723 1.285 3.196 Rh
1.723 1.734 0.024 Se
```

Summary:
- Total magnetic moment: 0.00 μB/cell
- Formation energy without anion corrections: -82 meV/atom
- Space-group type: No. 10
- D(E_F): 2.18 states/eV/cell


Compound: In2RhSe
Source: the Alexandria database
Functional: SCAN
Structure: single point on PBEsol structure

POSCAR file:
```
In2RhSe
1.0
-2.793 1.434 1.133
-2.514 -3.812 -1.374
0.703 -2.003 4.270
In Rh Se
2 1 1
Cartesian
0.352 -1.001 2.135 In
-1.257 -1.906 -0.687 In
-2.302 -2.191 2.015 Rh
-1.397 0.717 0.566 Se
```

Summary:
- Total magnetic moment: 0.00 μB/cell
- Formation energy without anion corrections: 11 meV/atom
- Space-group type: No. 123
- D(E_F): 1.83 states/eV/cell


Compound: In2RhSe
Source: the Alexandria database
Functional: SCAN
Structure: single point on PBEsol structure

POSCAR file:
```
In2RhSe
1.0
-0.578 -2.962 0.097
4.386 -0.887 -0.920
-0.686 1.878 6.262
In Rh Se
2 1 1
Cartesian
0.006 0.000 0.028 In
0.458 -1.509 3.639 In
1.924 -1.925 -0.313 Rh
2.637 -0.460 1.673 Se
```

Summary:
- Total magnetic moment: 0.00 μB/cell
- Formation energy without anion corrections: -193 meV/atom
- Space-group type: No. 44
- D(E_F): 1.62 states/eV/cell


Compound: In2RhSe
Source: the Alexandria database
Functional: SCAN
Structure: single point on PBEsol structure

POSCAR file:
```
In2RhSe
1.0
3.709 0.000 0.000
0.000 4.879 0.000
-1.855 -2.439 4.245
In Rh Se
2 1 1
Cartesian
1.855 2.439 2.209 In
0.000 0.000 2.036 In
1.855 0.000 0.000 Rh
0.000 2.439 0.000 Se
```

Summary:
- Total magnetic moment: 0.00 μB/cell
- Formation energy without anion corrections: 109 meV/atom
- Space-group type: No. 71
- D(E_F): 1.99 states/eV/cell